a) The following is a PBE calculation of crystalline RbLiF2 at its relaxed geometry, from the Alexandria database.

```
RbLiF2
1.0
2.593 -0.123 3.641
0.820 3.753 2.289
-1.802 0.588 4.050
Rb F Li
1 2 1
Direct
0.500 0.500 0.500 Rb
0.250 0.250 0.250 F
0.750 0.750 0.750 F
0.000 0.000 0.000 Li
```

Calculated values
**Density of states at the Fermi level**: 0.00 states/eV per atom
**Spin magnetization**: 0.00 μB per atom
**Density**: 3.42 Mg/m³
**Space-group type**: No. 225

---

b) The following is a PBE calculation of crystalline RbLiF2 at its relaxed geometry, from the Alexandria database.

```
RbLiF2
1.0
3.400 0.000 0.000
1.700 2.944 0.000
1.700 0.981 6.051
Li F Rb
1 2 1
Direct
0.667 0.667 0.998 Li
0.272 0.272 0.185 F
0.062 0.062 0.814 F
0.499 0.499 0.503 Rb
```

Calculated values
**Density of states at the Fermi level**: 0.00 states/eV per atom
**Spin magnetization**: 0.02 μB per atom
**Density**: 3.57 Mg/m³
**Space-group type**: No. 160

---

Of them, the most stable is b) and the least stable is a).

---

a) The following is a PBE calculation of crystalline RbLiF2 at its relaxed geometry, from the Alexandria database.

```
RbLiF2
1.0
-1.397 2.706 -3.554
-5.801 -1.844 0.876
-0.894 4.666 3.904
F Rb Li
4 2 2
Direct
0.222 0.332 0.041 F
0.722 0.021 0.919 F
0.222 0.142 0.608 F
0.722 0.454 0.729 F
0.721 0.237 0.324 Rb
0.221 0.737 0.824 Rb
0.472 0.237 0.824 Li
0.972 0.237 0.824 Li
```

Calculated values
**Density of states at the Fermi level**: 0.00 states/eV per atom
**Spin magnetization**: 0.02 μB per atom
**Density**: 2.45 Mg/m³
**Space-group type**: No. 84

---

b) The following is a PBE calculation of crystalline RbLiF2 at its relaxed geometry, from the Alexandria database.

```
RbLiF2
1.0
-5.909 2.494 -0.155
1.687 -5.617 -2.601
-2.309 -4.092 6.398
Rb Li F
4 4 8
Direct
0.324 0.144 0.069 Rb
0.856 0.676 0.431 Rb
0.676 0.856 0.931 Rb
0.144 0.324 0.569 Rb
0.560 0.958 0.360 Li
0.042 0.440 0.140 Li
0.958 0.560 0.860 Li
0.440 0.042 0.640 Li
0.155 0.433 0.916 F
0.845 0.567 0.084 F
0.309 0.691 0.250 F
0.113 0.887 0.750 F
0.433 0.155 0.416 F
0.887 0.113 0.250 F
0.691 0.309 0.750 F
0.567 0.845 0.584 F
```

Calculated values
**Density of states at the Fermi level**: 0.00 states/eV per atom
**Spin magnetization**: 0.02 μB per atom
**Density**: 3.25 Mg/m³
**Space-group type**: No. 15

---

c) The following is a PBE calculation of crystalline RbLiF2 at its relaxed geometry, from the Alexandria database.

```
RbLiF2
1.0
1.979 0.000 6.999
-0.989 1.714 6.999
-0.989 -1.714 6.999
Li F Rb
1 2 1
Direct
0.500 0.500 0.500 Li
0.885 0.885 0.885 F
0.115 0.115 0.115 F
0.000 0.000 0.000 Rb
```

Calculated values
**Density of states at the Fermi level**: 0.00 states/eV per atom
**Spin magnetization**: 0.00 μB per atom
**Density**: 3.04 Mg/m³
**Space-group type**: No. 166

---

Of them, the most stable is b) and the least stable is c).

---

a) The following is a PBE calculation of crystalline Rb2LiSeF6 at its relaxed geometry, from the Alexandria database.

```
Rb2LiSeF6
1.0
6.138 0.000 0.000
0.000 6.138 0.000
3.069 3.069 4.203
F Se Rb Li
6 1 2 1
Direct
0.260 0.740 0.000 F
0.233 0.233 0.534 F
0.740 0.740 0.000 F
0.260 0.260 0.000 F
0.740 0.260 0.000 F
0.767 0.767 0.466 F
0.000 0.000 0.000 Se
0.250 0.750 0.500 Rb
0.750 0.250 0.500 Rb
0.500 0.500 0.000 Li
```

Calculated values
**Density of states at the Fermi level**: 0.66 states/eV per atom
**Spin magnetization**: 0.10 μB per atom
**Density**: 3.89 Mg/m³
**Space-group type**: No. 139

---

b) The following is a PBE calculation of crystalline Rb2LiSeF6 at its relaxed geometry, from the Alexandria database.

```
Rb2LiSeF6
1.0
6.058 0.000 0.000
3.029 5.246 0.000
3.029 1.749 10.680
F Li Rb Se
12 2 4 2
Direct
0.403 0.852 0.342 F
0.597 0.148 0.658 F
0.852 0.403 0.342 F
0.726 0.189 0.895 F
0.811 0.811 0.105 F
0.403 0.403 0.342 F
0.274 0.811 0.105 F
0.189 0.189 0.895 F
0.189 0.726 0.895 F
0.148 0.597 0.658 F
0.597 0.597 0.658 F
0.811 0.274 0.105 F
0.588 0.588 0.237 Li
0.412 0.412 0.763 Li
0.719 0.719 0.842 Rb
0.130 0.130 0.611 Rb
0.870 0.870 0.389 Rb
0.281 0.281 0.158 Rb
0.000 0.000 0.000 Se
0.500 0.500 0.500 Se
```

Calculated values
**Spin magnetization**: 0.10 μB per atom
**Density**: 3.63 Mg/m³
**Space-group type**: No. 166

---

Of them, the most stable is b) and the least stable is a).